[1]
This record from Alexandria describes a relaxed structure of HoTc2HgO8. The functional is PBE-GGA.

Calculated values
**Formation energy (no corrections)**: -1.7154 eV/atom
**SG**: P-3m1
**Volume**: 22.6 Å³ per atom
**E**: -85.9 eV per cell

a b c (Å): 6.1530 6.1530 8.2601
angles (deg): 90.00 90.00 120.00
Atoms (fractional coordinates):
Ho: 0.0000 0.0000 0.5000
Tc: 0.6667 0.3333 0.2793
Tc: 0.3333 0.6667 0.7207
Hg: 0.0000 0.0000 0.0000
O: 0.3333 0.6667 0.9284
O: 0.3532 0.1765 0.3527
O: 0.8235 0.1767 0.3527
O: 0.6667 0.3333 0.0716
O: 0.1765 0.8233 0.6473
O: 0.6468 0.8235 0.6473
O: 0.1767 0.3532 0.6473
O: 0.8233 0.6468 0.3527

---

[2]
This record from Alexandria describes a relaxed structure of HoHg2TeO6. The functional is PBE-GGA.

Calculated values
**Formation energy (no corrections)**: -1.3189 eV/atom
**SG**: R-3
**Volume**: 14.2 Å³ per atom
**E**: -51.3 eV per cell

a b c (Å): 5.7719 5.7718 5.9436
angles (deg): 60.95 60.95 60.00
Atoms (fractional coordinates):
Ho: 0.8162 0.8162 0.5515
Hg: 0.5672 0.5671 0.2986
Hg: 0.0652 0.0653 0.8043
Te: 0.3162 0.3162 0.0515
O: 0.5484 0.1861 0.2885
O: 0.1862 0.9769 0.2885
O: 0.9770 0.5481 0.2887
O: 0.4461 0.6554 0.8146
O: 0.6553 0.0842 0.8144
O: 0.0839 0.4462 0.8146

---

[3]
This record from Alexandria describes a relaxed structure of Ho4TlHgO. The functional is PBE-GGA.

Calculated values
**Formation energy (no corrections)**: -1.0647 eV/atom
**SG**: Cmcm
**Volume**: 24.4 Å³ per atom
**E**: -66.8 eV per cell

a b c (Å): 6.5437 6.5500 8.6101
angles (deg): 90.00 112.33 90.00
Atoms (fractional coordinates):
Ho: 0.9197 0.2500 0.8395
Ho: 0.4290 0.7500 0.8580
Ho: 0.0803 0.7500 0.1605
Ho: 0.5710 0.2500 0.1420
Ho: 0.5000 0.5000 0.5000
Ho: 0.0000 0.0000 0.5000
Ho: 0.5000 0.0000 0.5000
Ho: 0.0000 0.5000 0.5000
Tl: 0.1117 0.2500 0.2234
Tl: 0.8883 0.7500 0.7766
Hg: 0.6166 0.7500 0.2333
Hg: 0.3834 0.2500 0.7667
O: 0.2453 0.7500 0.4905
O: 0.7547 0.2500 0.5095